No. 1
Density functional theory data (PBE) for a geometry-optimized HfScCoAs structure.

The space group is F-43m (No. 216) and the conventional cell measures 6.439, 6.439 and 6.439 Å, with angles of 90.00, 90.00 and 90.00 degrees. The inequivalent atoms are Hf at (0.000, 0.000, 0.000), Sc at (0.250, 0.250, 0.250), Co at (0.250, 0.250, 0.750) and As at (0.000, 0.000, 0.500).

The value obtained for the energy above the most stable polymorph in this dataset is 0.0 meV per atom.


No. 2
Density functional theory data (PBE) for a geometry-optimized HfCoTcAs structure.

The space group is F-43m (No. 216) and the conventional cell measures 6.194, 6.194 and 6.194 Å, with angles of 90.00, 90.00 and 90.00 degrees. The inequivalent atoms are Hf at (0.000, 0.000, 0.000), Co at (0.250, 0.250, 0.750), Tc at (0.250, 0.250, 0.250) and As at (0.000, 0.000, 0.500).

The value obtained for the energy above the most stable polymorph in this dataset is 0.0 meV per atom.


No. 3
Density functional theory data (PBE) for a geometry-optimized HfCoTcAs structure.

The space group is F-43m (No. 216) and the conventional cell measures 6.318, 6.318 and 6.318 Å, with angles of 90.00, 90.00 and 90.00 degrees. The inequivalent atoms are Hf at (0.000, 0.000, 0.000), Co at (0.000, 0.000, 0.500), Tc at (0.250, 0.250, 0.750) and As at (0.250, 0.250, 0.250).

The value obtained for the energy above the most stable polymorph in this dataset is 376.7 meV per atom.


No. 4
Density functional theory data (PBE) for a geometry-optimized HfCoAsW structure.

The space group is F-43m (No. 216) and the conventional cell measures 6.268, 6.268 and 6.268 Å, with angles of 90.00, 90.00 and 90.00 degrees. The inequivalent atoms are Hf at (0.000, 0.000, 0.000), Co at (0.250, 0.250, 0.750), As at (0.000, 0.000, 0.500) and W at (0.250, 0.250, 0.250).

The value obtained for the energy above the most stable polymorph in this dataset is 0.0 meV per atom.


No. 5
Density functional theory data (PBE) for a geometry-optimized HfZnCoAs structure.

The space group is F-43m (No. 216) and the conventional cell measures 6.291, 6.291 and 6.291 Å, with angles of 90.00, 90.00 and 90.00 degrees. The inequivalent atoms are Hf at (0.000, 0.000, 0.000), Zn at (0.250, 0.250, 0.250), Co at (0.250, 0.250, 0.750) and As at (0.000, 0.000, 0.500).

The value obtained for the energy above the most stable polymorph in this dataset is 3.5 meV per atom.


No. 6
Density functional theory data (PBE) for a geometry-optimized HfZnCoAs structure.

The space group is F-43m (No. 216) and the conventional cell measures 6.284, 6.284 and 6.284 Å, with angles of 90.00, 90.00 and 90.00 degrees. The inequivalent atoms are Hf at (0.000, 0.000, 0.000), Zn at (0.250, 0.250, 0.750), Co at (0.000, 0.000, 0.500) and As at (0.250, 0.250, 0.250).

The value obtained for the energy above the most stable polymorph in this dataset is 0.0 meV per atom.


No. 7
Density functional theory data (PBE) for a geometry-optimized Hf2ZrCo4As4 structure.

The space group is Pm (No. 6) and the conventional cell measures 6.331, 3.848 and 7.149 Å, with angles of 90.00, 91.05 and 90.00 degrees. The inequivalent atoms are Hf at (0.000, 0.000, 0.000), Hf at (0.488, 0.000, 0.860), Zr at (0.532, 0.500, 0.481), Co at (0.176, 0.500, 0.739), Co at (0.395, 0.000, 0.231), Co at (0.668, 0.500, 0.111), Co at (0.869, 0.000, 0.626), As at (0.222, 0.000, 0.538), As at (0.283, 0.500, 0.084), As at (0.771, 0.000, 0.303) and As at (0.792, 0.500, 0.793).

For the total energy, the calculation gives -7.54 eV per atom.


No. 8
Density functional theory data (PBE) for a geometry-optimized LiCoHgAs structure.

The space group is F-43m (No. 216) and the conventional cell measures 6.244, 6.244 and 6.244 Å, with angles of 90.00, 90.00 and 90.00 degrees. The inequivalent atoms are Li at (0.000, 0.000, 0.000), Co at (0.000, 0.000, 0.500), Hg at (0.250, 0.250, 0.750) and As at (0.250, 0.250, 0.250).

The value obtained for the energy above the most stable polymorph in this dataset is 0.0 meV per atom.


No. 9
Density functional theory data (PBE) for a geometry-optimized CoHgMoAs structure.

The space group is F-43m (No. 216) and the conventional cell measures 6.456, 6.456 and 6.456 Å, with angles of 90.00, 90.00 and 90.00 degrees. The inequivalent atoms are Co at (0.000, 0.000, 0.000), Hg at (0.000, 0.000, 0.500), Mo at (0.250, 0.250, 0.250) and As at (0.250, 0.250, 0.750).

The value obtained for the energy above the most stable polymorph in this dataset is 310.6 meV per atom.


No. 10
Density functional theory data (PBE) for a geometry-optimized CoHgMoAs structure.

The space group is F-43m (No. 216) and the conventional cell measures 6.308, 6.308 and 6.308 Å, with angles of 90.00, 90.00 and 90.00 degrees. The inequivalent atoms are Co at (0.000, 0.000, 0.000), Hg at (0.250, 0.250, 0.250), Mo at (0.000, 0.000, 0.500) and As at (0.250, 0.250, 0.750).

The value obtained for the energy above the most stable polymorph in this dataset is 0.0 meV per atom.


Number 1: size of the total moment 1.509 μB per formula unit, ρ 8.89 g/cm3. Number 2: size of the total moment 0.912 μB per formula unit, ρ 11.47 g/cm3. Number 3: size of the total moment 2.991 μB per formula unit, ρ 10.81 g/cm3. Number 4: size of the total moment 0.000 μB per formula unit, ρ 13.39 g/cm3. Number 5: size of the total moment 0.003 μB per formula unit, ρ 10.08 g/cm3. Number 6: size of the total moment 0.016 μB per formula unit, ρ 10.11 g/cm3. Number 7: size of the total moment 0.426 μB per formula unit, ρ 9.38 g/cm3. Number 8: size of the total moment 0.003 μB per formula unit, ρ 9.31 g/cm3. Number 9: size of the total moment 2.083 μB per formula unit, ρ 10.62 g/cm3. Number 10: size of the total moment 0.716 μB per formula unit, ρ 11.39 g/cm3.